# K4W2Cl10O | Alexandria | GGA+U | optimized geometry
data_K4W2Cl10O
_cell_length_a 7.333
_cell_length_b 7.333
_cell_length_c 18.109
_cell_angle_alpha 90.00
_cell_angle_beta 90.00
_cell_angle_gamma 90.00
_space_group_name_H-M_alt 'I 4/m m m'
_space_group_IT_number 139
_space_group_name_Hall '-I 4 2'
loop_
_atom_site_label
_atom_site_type_symbol
_atom_site_fract_x
_atom_site_fract_y
_atom_site_fract_z
K1 K 0.000 0.500 0.000
K2 K 0.000 0.500 0.250
W1 W 0.000 0.000 0.106
Cl1 Cl 0.000 0.000 0.241
Cl2 Cl 0.238 0.238 0.111
O1 O 0.000 0.000 0.000
# E_tot	-138.4	eV for the cell shown
# theoretical density	3.051	g/cm³